Material: K3H8N2
Method: DFT, PBE
State: relaxed

Geometry as POSCAR:
```
K3H8N2
1.0
3.670 2.119 7.628
-3.670 2.119 7.628
0.000 -4.238 7.628
K H N
3 8 2
direct
0.000 0.000 0.000 K
0.203 0.203 0.203 K
0.797 0.797 0.797 K
0.345 0.345 0.579 H
0.345 0.579 0.345 H
0.362 0.362 0.362 H
0.421 0.655 0.655 H
0.579 0.345 0.345 H
0.638 0.638 0.638 H
0.655 0.421 0.655 H
0.655 0.655 0.421 H
0.408 0.408 0.408 N
0.592 0.592 0.592 N
```

Properties
**Mass density**: 0.72 g/cm³
**V**: 27.4 A^3/atom
**Magnetic moment**: 0.0 μB per formula unit
**Final energy**: -46.7 eV/cell

Material: CeY2Ho4
Method: DFT, PBE
State: relaxed

Geometry as POSCAR:
```
CeY2Ho4
1.0
3.060 -6.421 0.000
3.060 6.421 0.000
0.000 0.000 5.890
Ce Y Ho
1 2 4
direct
0.000 0.000 0.000 Ce
0.390 0.610 0.500 Y
0.610 0.390 0.500 Y
0.138 0.862 0.500 Ho
0.297 0.703 0.000 Ho
0.703 0.297 0.000 Ho
0.862 0.138 0.500 Ho
```

Properties
**Mass density**: 7.01 g/cm³
**V**: 33.1 A^3/atom
**Formation energy from the elements**: 0.56 eV/atom
**Magnetic moment**: 2.6 μB per formula unit

Material: OsPb
Method: DFT, PBE
State: relaxed

Geometry as POSCAR:
```
OsPb
1.0
4.279 0.000 0.000
-2.140 3.706 0.000
0.000 0.000 12.836
Os Pb
4 4
direct
0.000 0.000 0.250 Os
0.000 0.000 0.750 Os
0.333 0.667 0.250 Os
0.667 0.333 0.750 Os
0.333 0.667 0.605 Pb
0.333 0.667 0.895 Pb
0.667 0.333 0.105 Pb
0.667 0.333 0.395 Pb
```

Properties
**Mass density**: 12.97 g/cm³
**V**: 25.4 A^3/atom
**Formation energy from the elements**: 0.64 eV/atom
**Magnetic moment**: 0.0 μB per formula unit